# 1
Y2CuBr | PBE | relaxed

Unit cell a=5.095 b=5.095 c=5.095 alpha=60.00 beta=60.00 gamma=60.00
Atoms (fractional coordinates):
Y 0.250 0.250 0.250
Y 0.750 0.750 0.750
Cu 0.000 0.000 0.000
Br 0.500 0.500 0.500

## Properties
D(E_F): 1.115 states/eV/atom
Energy relative to the elements, uncorrected: -0.327 eV per atom
Space-group type: No. 225
VASP energy: -5.00 eV/atom
ΔE to the lowest computed polymorph: 305.2 meV/atom


# 2
BeCoHg | PBE | relaxed

Unit cell a=5.129 b=5.129 c=5.129 alpha=147.20 beta=147.20 gamma=47.07
Atoms (fractional coordinates):
Be 0.000 0.000 0.000
Co 0.589 0.589 0.000
Hg 0.294 0.294 0.000

## Properties
ΔE_f: 21.88 kJ per mole of atoms
D(E_F): 0.385 states/eV/atom
Space-group type: No. 107
VASP energy: -3.48 eV/atom
ΔE to the lowest computed polymorph: 0.0 meV/atom


# 3
NbCo2Ge2 | PBE | relaxed

Unit cell a=7.058 b=7.058 c=2.716 alpha=90.00 beta=90.00 gamma=90.00
Atoms (fractional coordinates):
Nb 0.000 0.000 0.000
Nb 0.500 0.500 0.000
Co 0.148 0.352 0.500
Co 0.352 0.852 0.500
Co 0.648 0.148 0.500
Co 0.852 0.648 0.500
Ge 0.147 0.647 0.000
Ge 0.353 0.147 0.000
Ge 0.647 0.853 0.000
Ge 0.853 0.353 0.000

## Properties
ΔE_f: -17.44 kJ per mole of atoms
D(E_F): 0.711 states/eV/atom
Space-group type: No. 127
VASP energy: -6.88 eV/atom


# 4
CaGaPd3 | PBE | relaxed

Unit cell a=4.939 b=4.939 c=4.939 alpha=90.00 beta=90.00 gamma=90.00
Atoms (fractional coordinates):
Ca 0.000 0.000 0.000
Ga 0.500 0.500 0.500
Pd 0.000 0.000 0.500
Pd 0.000 0.500 0.000
Pd 0.500 0.000 0.000

## Properties
ΔE_f: 63.68 kJ per mole of atoms
D(E_F): 0.476 states/eV/atom
Space-group type: No. 221
VASP energy: -3.46 eV/atom


# 5
Cs3U3RuS8 | PBE | relaxed

Unit cell a=9.486 b=9.486 c=9.486 alpha=47.99 beta=47.99 gamma=47.99
Atoms (fractional coordinates):
Cs 0.000 0.500 0.500
Cs 0.500 0.000 0.500
Cs 0.500 0.500 0.000
U 0.000 0.000 0.500
U 0.000 0.500 0.000
U 0.500 0.000 0.000
Ru 0.500 0.500 0.500
S 0.230 0.230 0.230
S 0.246 0.714 0.714
S 0.286 0.286 0.754
S 0.286 0.754 0.286
S 0.714 0.246 0.714
S 0.714 0.714 0.246
S 0.754 0.286 0.286
S 0.770 0.770 0.770

## Properties
D(E_F): 0.903 states/eV/atom
Energy relative to the elements, uncorrected: -1.181 eV per atom
Space-group type: No. 166
VASP energy: -6.43 eV/atom


# 6
NdTm15Sc4 | PBE | relaxed

Unit cell a=4.881 b=4.881 c=24.429 alpha=90.00 beta=90.00 gamma=90.00
Atoms (fractional coordinates):
Nd 0.000 0.000 0.000
Tm 0.000 0.500 0.105
Tm 0.000 0.500 0.302
Tm 0.000 0.500 0.500
Tm 0.000 0.500 0.698
Tm 0.000 0.500 0.895
Tm 0.500 0.000 0.105
Tm 0.500 0.000 0.302
Tm 0.500 0.000 0.500
Tm 0.500 0.000 0.698
Tm 0.500 0.000 0.895
Tm 0.500 0.500 0.000
Tm 0.500 0.500 0.204
Tm 0.500 0.500 0.401
Tm 0.500 0.500 0.599
Tm 0.500 0.500 0.796
Sc 0.000 0.000 0.203
Sc 0.000 0.000 0.401
Sc 0.000 0.000 0.599
Sc 0.000 0.000 0.797

## Properties
ΔE_f: 4.18 kJ per mole of atoms
D(E_F): 1.566 states/eV/atom
Space-group type: No. 123
VASP energy: -4.81 eV/atom


# 7
K2BeAl | PBE | relaxed

Unit cell a=5.407 b=5.386 c=5.351 alpha=60.47 beta=60.08 gamma=59.45
Atoms (fractional coordinates):
K 0.000 0.000 0.000
K 0.250 0.250 0.250
Be 0.750 0.750 0.750
Al 0.500 0.500 0.500

## Properties
ΔE_f: 70.95 kJ per mole of atoms
D(E_F): 1.289 states/eV/atom
Space-group type: No. 22
VASP energy: -1.68 eV/atom
ΔE to the lowest computed polymorph: 337.3 meV/atom


# 8
TlSN2F | PBE | relaxed

Unit cell a=5.058 b=5.058 c=3.876 alpha=90.00 beta=90.00 gamma=90.00
Atoms (fractional coordinates):
Tl 0.000 0.000 0.000
S 0.500 0.500 0.000
N 0.000 0.500 0.500
N 0.500 0.000 0.500
F 0.500 0.500 0.500

## Properties
D(E_F): 0.430 states/eV/atom
Energy relative to the elements, uncorrected: 1.814 eV per atom
Space-group type: No. 123
VASP energy: -3.19 eV/atom
ΔE to the lowest computed polymorph: 1130.6 meV/atom